A relaxed AlCdRe2 crystal, computed with GGA-PBE.

a b c (Å): 5.1142 5.1142 2.6868
angles (deg): 90.00 90.00 113.68
Element x y z (fractional)
Re  0.0000  0.0000  0.0000
Re  0.5000  0.5000  0.0000
Al  0.5000  0.0000  0.5000
Cd  0.0000  0.5000  0.5000

Summary:
- ΔE to the lowest computed polymorph (eV/f.u.) = 1.67
- symmetry = No. 65
- formation energy from the elements (eV per atom) = 0.529
- crystal system = orthorhombic
- total magnetization (μB per formula unit) = 0.0
- DOS at the Fermi energy (states/eV/f.u.) = 4.21

***

A relaxed Zn2CoTc crystal, computed with GGA-PBE.

a b c (Å): 4.7335 4.7335 4.7335
angles (deg): 134.14 134.14 66.87
Last column: magnetic moment on the atom in μB.
Element x y z (fractional)
Co  0.2500  0.7500  0.5000  1.55
Tc  0.7500  0.2500  0.5000  0.84
Zn  0.0000  0.0000  0.0000  -0.01
Zn  0.5000  0.5000  0.0000  -0.01

Summary:
- ΔE to the lowest computed polymorph (eV/f.u.) = 0.75
- symmetry = No. 139
- formation energy from the elements (eV per atom) = 0.167
- crystal system = tetragonal
- total magnetization (μB per formula unit) = 2.4
- DOS at the Fermi energy (states/eV/f.u.) = 4.31

***

A relaxed DyTmScHg crystal, computed with GGA-PBE.

a b c (Å): 5.2802 5.2802 5.2802
angles (deg): 60.00 60.00 60.00
Last column: magnetic moment on the atom in μB.
Element x y z (fractional)
Sc  0.0000  0.0000  0.0000  0.26
Tm  0.7500  0.7500  0.7500  0.16
Hg  0.5000  0.5000  0.5000  0.00
Dy  0.2500  0.2500  0.2500  0.13

Summary:
- symmetry = No. 216
- formation energy from the elements (eV per atom) = -0.072
- crystal system = cubic
- total magnetization (μB per formula unit) = 0.7
- DOS at the Fermi energy (states/eV/f.u.) = 5.67